Entry 1:
CuAsPbSe2 PBE optimized geometry; ρ = 7090 kg/m3; ΔE_f (raw) = 0.185 eV per atom; total moment = 0.000 μB per atom
1.0
5.114 0.000 0.000
0.000 5.114 0.000
0.000 0.000 4.510
Cu As Pb Se
1 1 1 2
Direct
0.000 0.000 0.000 Cu
0.000 0.000 0.500 As
0.500 0.500 0.500 Pb
0.000 0.500 0.000 Se
0.500 0.000 0.000 Se


Entry 2:
Li3LaCe2S6 PBE optimized geometry; ρ = 3903 kg/m3; ΔE_f (raw) = -1.755 eV per atom; total moment = 0.167 μB per atom
1.0
3.545 -6.146 0.000
3.545 6.146 0.000
-2.352 0.000 6.174
Li La Ce S
3 1 2 6
Direct
0.000 0.000 0.000 Li
0.329 0.671 0.000 Li
0.671 0.329 0.000 Li
0.500 0.500 0.500 La
0.166 0.834 0.500 Ce
0.834 0.166 0.500 Ce
0.076 0.415 0.244 S
0.247 0.247 0.758 S
0.415 0.076 0.244 S
0.585 0.924 0.756 S
0.753 0.753 0.242 S
0.924 0.585 0.756 S


Entry 3:
BaSrCd2I8 PBE optimized geometry; ρ = 4333 kg/m3; ΔE_f (raw) = -1.062 eV per atom; total moment = 0.000 μB per atom
1.0
7.654 0.000 0.000
-3.827 6.629 0.000
0.000 0.000 11.064
Ba Sr Cd I
1 1 2 8
Direct
0.000 0.000 0.000 Ba
0.000 0.000 0.500 Sr
0.333 0.667 0.759 Cd
0.667 0.333 0.241 Cd
0.020 0.699 0.296 I
0.301 0.321 0.296 I
0.321 0.020 0.704 I
0.333 0.667 0.011 I
0.667 0.333 0.989 I
0.679 0.980 0.296 I
0.699 0.679 0.704 I
0.980 0.301 0.704 I


Entry 4:
SmMg3Zn PBE optimized geometry; ρ = 4012 kg/m3; total moment = 0.000 μB per atom; ΔE_f = -0.128 eV/atom
1.0
7.418 0.000 0.000
0.000 4.147 0.000
-2.310 0.000 7.769
Sm Mg Zn
2 6 2
Direct
0.180 0.250 0.164 Sm
0.820 0.750 0.836 Sm
0.088 0.250 0.654 Mg
0.337 0.750 0.900 Mg
0.344 0.750 0.519 Mg
0.656 0.250 0.481 Mg
0.663 0.250 0.100 Mg
0.912 0.750 0.346 Mg
0.498 0.250 0.749 Zn
0.502 0.750 0.251 Zn


Entry 5:
Rh2W2Au PBE optimized geometry; ρ = 14713 kg/m3; total moment = 0.000 μB per atom; ΔE_f = 0.488 eV/atom
1.0
-1.908 1.908 5.970
1.908 -1.908 5.970
1.908 1.908 -5.970
Rh W Au
2 2 1
Direct
0.250 0.750 0.500 Rh
0.750 0.250 0.500 Rh
0.105 0.105 0.000 W
0.895 0.895 0.000 W
0.500 0.500 0.000 Au


Entry 6:
Li3CoH4 PBE optimized geometry; ρ = 2210 kg/m3; E = -3.511 eV/atom; total moment = 0.009 μB per atom
1.0
-1.846 2.393 3.564
1.846 -2.393 3.564
1.846 2.393 -3.564
Li Co H
3 1 4
Direct
0.000 0.000 0.000 Li
0.249 0.749 0.500 Li
0.751 0.251 0.500 Li
0.500 0.500 0.000 Co
0.181 0.500 0.681 H
0.279 0.279 0.000 H
0.721 0.721 0.000 H
0.819 0.500 0.319 H


Entry 7:
PaCdAg2 PBE optimized geometry; ρ = 10692 kg/m3; total moment = 0.001 μB per atom; ΔE_f = 0.125 eV/atom
1.0
0.000 3.515 3.515
3.515 0.000 3.515
3.515 3.515 0.000
Pa Cd Ag
1 1 2
Direct
0.000 0.000 0.000 Pa
0.500 0.500 0.500 Cd
0.250 0.250 0.250 Ag
0.750 0.750 0.750 Ag


Entry 8:
TlSnHgSb PBE optimized geometry; ρ = 9288 kg/m3; ΔE_f (raw) = 0.070 eV per atom; total moment = 0.000 μB per atom
1.0
0.000 3.864 3.864
3.864 0.000 3.864
3.864 3.864 0.000
Tl Sn Hg Sb
1 1 1 1
Direct
0.000 0.000 0.000 Tl
0.500 0.500 0.500 Sn
0.750 0.750 0.750 Hg
0.250 0.250 0.250 Sb